--- w ---
DFT (GGA-PBE) results for SbMo2H after structural relaxation.

Geometry as POSCAR:
```
SbMo2H
1.0
0.000 3.128 3.128
3.128 0.000 3.128
3.128 3.128 0.000
Sb Mo H
1 2 1
Direct
0.000 0.000 0.000
0.250 0.250 0.250
0.750 0.750 0.750
0.500 0.500 0.500
```

Calculated values
As for the crystal system: cubic. For the density of states at the Fermi level, the calculation gives 1.368 states/eV/atom.

--- x ---
DFT (GGA-PBE) results for SbMo2H after structural relaxation.

Geometry as POSCAR:
```
SbMo2H
1.0
-2.460 2.460 5.275
2.460 -2.460 5.275
2.460 2.460 -5.275
Sb Mo H
2 4 2
Direct
0.000 0.000 0.000
0.750 0.250 0.500
0.333 0.625 0.208
0.375 0.583 0.708
0.417 0.125 0.792
0.875 0.667 0.292
0.250 0.750 0.500
0.500 0.500 0.000
```

Calculated values
As for the crystal system: tetragonal. For the density of states at the Fermi level, the calculation gives 0.611 states/eV/atom.

Energies, relative to the best one, in eV/atom: w 0.461; x 0.000.